## La3SmEr2P6 (PBE)

Data for a relaxed structure of La3SmEr2P6.

Properties
N(E_F): 1.12 states/eV/f.u.
Total magnetic moment: 0.00 μB per atom
ΔH_f (0 K): -1.570 eV/atom

Structure (CIF):
```
data_La3SmEr2P6
_chemical_formula_sum 'La6 Sm2 Er4 P12'
_space_group_name_H-M_alt 'C 1 2/m 1'
_space_group_IT_number 12
_cell_length_a 7.182
_cell_length_b 12.439
_cell_length_c 7.181
_cell_angle_alpha 90.00
_cell_angle_beta 109.47
_cell_angle_gamma 90.00
loop_
_space_group_symop_operation_xyz
'x,y,z'
'-x,-y,-z'
'-x,y,-z'
'x,-y,z'
'x+1/2,y+1/2,z'
'-x+1/2,-y+1/2,-z'
'-x+1/2,y+1/2,-z'
'x+1/2,-y+1/2,z'
loop_
_atom_site_label
_atom_site_type_symbol
_atom_site_fract_x
_atom_site_fract_y
_atom_site_fract_z
_atom_site_occupancy
La1 La 0.000 0.000 0.000 1
La2 La 0.000 0.334 0.000 1
Sm1 Sm 0.000 0.500 0.500 1
Er1 Er 0.000 0.167 0.500 1
P1 P 0.241 0.000 0.736 1
P2 P 0.248 0.331 0.737 1
```